(1)
A geometry-optimized Li3Ag3Sn structure, computed with PBE.

POSCAR file:
```
Li3Ag3Sn
1.0
-4.165 2.037 -1.309
-3.833 -5.930 2.966
1.607 6.088 4.361
Li Ag Sn
6 6 2
direct
0.750 0.627 0.531
0.750 0.469 0.096
0.750 0.904 0.373
0.250 0.373 0.469
0.250 0.531 0.904
0.250 0.096 0.627
0.250 0.815 0.756
0.250 0.244 0.059
0.250 0.941 0.185
0.750 0.185 0.244
0.750 0.756 0.941
0.750 0.059 0.815
0.250 0.667 0.333
0.750 0.333 0.667
```

Computed properties:
Energy above the most stable polymorph in this dataset   0 kJ/mol of formula units

***

(2)
A geometry-optimized Li2Ag2Sn5 structure, computed with PBE.

POSCAR file:
```
Li2Ag2Sn5
1.0
-1.166 2.554 6.578
-5.969 -3.996 0.494
7.252 -3.996 2.837
Li Ag Sn
4 4 10
direct
0.635 0.863 0.000
0.365 0.137 0.000
0.135 0.637 0.000
0.865 0.363 0.000
0.000 0.206 0.413
0.500 0.706 0.413
0.000 0.794 0.587
0.500 0.294 0.587
0.000 0.000 0.000
0.500 0.500 0.000
0.844 0.795 0.278
0.156 0.483 0.278
0.344 0.983 0.278
0.656 0.295 0.278
0.156 0.205 0.722
0.844 0.517 0.722
0.656 0.017 0.722
0.344 0.705 0.722
```

***

(3)
A geometry-optimized LiAg6Sn3 structure, computed with PBE.

POSCAR file:
```
LiAg6Sn3
1.0
7.522 -0.912 -0.933
-1.075 7.500 -0.933
-1.075 -1.099 7.478
Li Ag Sn
2 12 6
direct
0.000 0.000 0.000
0.500 0.500 0.500
0.227 0.747 0.961
0.253 0.039 0.773
0.448 0.813 0.373
0.039 0.773 0.253
0.373 0.448 0.813
0.187 0.627 0.552
0.813 0.373 0.448
0.627 0.552 0.187
0.961 0.227 0.747
0.552 0.187 0.627
0.747 0.961 0.227
0.773 0.253 0.039
0.563 0.861 0.807
0.861 0.807 0.563
0.193 0.437 0.139
0.807 0.563 0.861
0.139 0.193 0.437
0.437 0.139 0.193
```

***

(4)
A geometry-optimized Li3AgSn structure, computed with PBE.

POSCAR file:
```
Li3AgSn
1.0
-2.336 4.520 -1.709
-2.142 -2.372 -3.420
-4.695 -0.045 -0.225
Li Ag Sn
3 1 1
direct
0.788 0.001 0.311
0.021 0.412 0.489
0.597 0.603 0.107
0.208 0.807 0.697
0.394 0.203 0.907
```

Computed properties:
Energy above the most stable polymorph in this dataset   0 kJ/mol of formula units

***

(5)
A geometry-optimized Li2Ag5Sn3 structure, computed with PBE.

POSCAR file:
```
Li2Ag5Sn3
1.0
-3.825 -4.209 -0.183
4.104 -7.414 -3.707
-0.766 -3.521 8.519
Li Ag Sn
4 10 6
direct
0.123 0.723 0.032
0.877 0.277 0.968
0.623 0.032 0.723
0.377 0.968 0.277
0.250 0.500 0.500
0.750 0.500 0.500
0.500 0.750 0.750
0.000 0.250 0.250
0.500 0.250 0.250
0.000 0.750 0.750
0.150 0.508 0.193
0.850 0.492 0.807
0.650 0.193 0.508
0.350 0.807 0.492
0.250 0.000 0.000
0.750 0.000 0.000
0.387 0.409 0.817
0.613 0.591 0.183
0.887 0.817 0.409
0.113 0.183 0.591
```

***

(6)
A geometry-optimized Li2Ag3Sn3 structure, computed with PBE.

POSCAR file:
```
Li2Ag3Sn3
1.0
-0.234 2.445 -3.733
-4.378 -0.149 2.851
4.740 12.568 7.935
Li Ag Sn
4 6 6
direct
0.775 0.550 0.874
0.225 0.450 0.374
0.775 0.550 0.626
0.225 0.450 0.126
0.639 0.279 0.464
0.361 0.721 0.964
0.639 0.279 0.036
0.361 0.721 0.536
0.431 0.861 0.250
0.569 0.139 0.750
0.931 0.862 0.404
0.069 0.138 0.904
0.931 0.862 0.096
0.069 0.138 0.596
0.728 0.456 0.250
0.272 0.544 0.750
```

Computed properties:
Energy above the most stable polymorph in this dataset   6 kJ/mol of formula units

***

(7)
A geometry-optimized Li8AgSn2 structure, computed with PBE.

POSCAR file:
```
Li8AgSn2
1.0
4.697 0.000 0.000
0.000 6.268 -0.218
-2.348 -2.889 7.106
Li Ag Sn
8 1 2
direct
0.349 0.585 0.697
0.652 0.889 0.303
0.820 0.820 0.641
0.000 0.273 0.000
0.180 0.180 0.359
0.348 0.111 0.697
0.651 0.415 0.303
0.000 0.727 0.000
0.500 0.000 0.000
0.818 0.318 0.637
0.182 0.682 0.363
```

***

(8)
A geometry-optimized Li2Ag3Sn2 structure, computed with PBE.

POSCAR file:
```
Li2Ag3Sn2
1.0
-2.710 -1.346 -2.906
-1.355 -1.263 4.877
-2.855 6.225 -0.223
Li Ag Sn
2 3 2
direct
0.577 0.155 0.741
0.423 0.845 0.259
0.000 0.000 0.000
0.713 0.427 0.133
0.287 0.573 0.867
0.861 0.722 0.586
0.139 0.278 0.414
```

Computed properties:
Energy above the most stable polymorph in this dataset   0 kJ/mol of formula units

***

(9)
A geometry-optimized Li5Ag2Sn5 structure, computed with PBE.

POSCAR file:
```
Li5Ag2Sn5
1.0
4.677 -0.003 0.851
2.257 4.097 0.851
-0.067 -0.040 13.324
Li Ag Sn
5 2 5
direct
0.500 0.500 0.500
0.307 0.307 0.080
0.230 0.230 0.312
0.770 0.770 0.688
0.693 0.693 0.920
0.076 0.076 0.771
0.924 0.924 0.229
0.852 0.852 0.442
0.391 0.391 0.827
0.609 0.609 0.173
0.148 0.148 0.558
0.000 0.000 0.000
```

Computed properties:
Energy above the most stable polymorph in this dataset   4 kJ/mol of formula units

***

(10)
A geometry-optimized Li2Ag15Sn2 structure, computed with PBE.

POSCAR file:
```
Li2Ag15Sn2
1.0
-2.825 -3.300 5.855
6.245 -2.291 2.984
0.903 5.442 4.766
Li Ag Sn
2 15 2
direct
0.895 0.895 0.895
0.105 0.105 0.105
0.000 0.500 0.000
0.000 0.000 0.500
0.500 0.000 0.000
0.309 0.000 0.691
0.691 0.309 0.000
0.000 0.691 0.309
0.309 0.691 0.000
0.000 0.309 0.691
0.691 0.000 0.309
0.346 0.842 0.346
0.346 0.346 0.842
0.842 0.346 0.346
0.654 0.158 0.654
0.654 0.654 0.158
0.158 0.654 0.654
0.661 0.661 0.661
0.339 0.339 0.339
```

***

Summary of energy of formation in meV/atom
-252 -45 -52 -339 16 -111 -287 -160 -244 48
(order as listed above)